Entry 1:
DFT (PBE) results for BaLaTi2Fe after structural relaxation.

The space group is P4/mmm, No. 123. The energy above the most stable polymorph in this dataset comes out at 1088 meV per atom. The value obtained for the volume is 134 Å³/cell. The energy of formation from the pure elements is 1505 meV/atom. The total energy is -4.72 eV per atom.

Cell and atoms, written as CIF:
```
data_BaLaTi2Fe
_chemical_formula_sum 'Ba1 La1 Ti2 Fe1'
_cell_length_a 5.1416
_cell_length_b 5.0583
_cell_length_c 5.1416
_cell_angle_alpha 90.00
_cell_angle_beta 90.00
_cell_angle_gamma 90.00
_space_group_name_H-M_alt 'P 1'
_space_group_IT_number 1
_space_group_name_Hall 'P 1'
loop_
_atom_site_label
_atom_site_type_symbol
_atom_site_fract_x
_atom_site_fract_y
_atom_site_fract_z
Ba1 Ba 0.0000 0.0000 0.0000
Fe1 Fe 0.0000 0.5000 0.0000
Ti1 Ti 0.5000 0.0000 0.0000
Ti2 Ti 0.0000 0.0000 0.5000
La1 La 0.5000 0.5000 0.5000
```

---

Entry 2:
DFT (PBE) results for BaLa2VFe after structural relaxation.

The space group is P4/mmm, No. 123. The value obtained for the volume is 150 Å³/cell. The energy of formation from the pure elements is 409 meV/atom. The total energy is -5.46 eV per atom.

Cell and atoms, written as CIF:
```
data_BaLa2VFe
_chemical_formula_sum 'Ba1 La2 V1 Fe1'
_cell_length_a 5.4700
_cell_length_b 5.0005
_cell_length_c 5.4700
_cell_angle_alpha 90.00
_cell_angle_beta 90.00
_cell_angle_gamma 90.00
_space_group_name_H-M_alt 'P 1'
_space_group_IT_number 1
_space_group_name_Hall 'P 1'
loop_
_atom_site_label
_atom_site_type_symbol
_atom_site_fract_x
_atom_site_fract_y
_atom_site_fract_z
La1 La 0.5000 0.0000 0.0000
V1 V 0.0000 0.5000 0.0000
Fe1 Fe 0.0000 0.0000 0.0000
Ba1 Ba 0.5000 0.5000 0.5000
La2 La 0.0000 0.0000 0.5000
```

---

Entry 3:
DFT (PBE) results for BaLaFe2W after structural relaxation.

The space group is P4/mmm, No. 123. The value obtained for the volume is 119 Å³/cell. The energy of formation from the pure elements is 1933 meV/atom. The total energy is -5.41 eV per atom.

Cell and atoms, written as CIF:
```
data_BaLaFe2W
_chemical_formula_sum 'Ba1 La1 Fe2 W1'
_cell_length_a 4.8061
_cell_length_b 5.1600
_cell_length_c 4.8061
_cell_angle_alpha 90.00
_cell_angle_beta 90.00
_cell_angle_gamma 90.00
_space_group_name_H-M_alt 'P 1'
_space_group_IT_number 1
_space_group_name_Hall 'P 1'
loop_
_atom_site_label
_atom_site_type_symbol
_atom_site_fract_x
_atom_site_fract_y
_atom_site_fract_z
W1 W 0.0000 0.5000 0.0000
Fe1 Fe 0.0000 0.0000 0.5000
Ba1 Ba 0.5000 0.5000 0.5000
La1 La 0.0000 0.0000 0.0000
Fe2 Fe 0.5000 0.0000 0.0000
```

---

Entry 4:
DFT (PBE) results for BaLaY2Fe after structural relaxation.

The space group is P4/mmm, No. 123. The value obtained for the volume is 166 Å³/cell. The energy of formation from the pure elements is 111 meV/atom. The total energy is -5.54 eV per atom.

Cell and atoms, written as CIF:
```
data_BaLaY2Fe
_chemical_formula_sum 'Ba1 La1 Y2 Fe1'
_cell_length_a 5.5794
_cell_length_b 5.5794
_cell_length_c 5.3467
_cell_angle_alpha 90.00
_cell_angle_beta 90.00
_cell_angle_gamma 90.00
_space_group_name_H-M_alt 'P 1'
_space_group_IT_number 1
_space_group_name_Hall 'P 1'
loop_
_atom_site_label
_atom_site_type_symbol
_atom_site_fract_x
_atom_site_fract_y
_atom_site_fract_z
Fe1 Fe 0.0000 0.0000 0.0000
Y1 Y 0.0000 0.5000 0.0000
La1 La 0.0000 0.0000 0.5000
Y2 Y 0.5000 0.0000 0.0000
Ba1 Ba 0.5000 0.5000 0.5000
```